1.
A relaxed NaLaTmIn crystal, computed with PBE.

Structure (POSCAR):
```
NaLaTmIn
1.0
0.000 3.893 3.893
3.893 0.000 3.893
3.893 3.893 0.000
Na La Tm In
1 1 1 1
Direct
0.000 0.000 0.000
0.250 0.250 0.250
0.750 0.750 0.750
0.500 0.500 0.500
```

Calculated values
The crystal system is cubic. The total magnetization is 0.00 μB/f.u. The energy comes out at -3.4979 eV/atom. The value obtained for the energy of formation is -51.6 kJ/mol of formula units.

***

2.
A relaxed SmThPtI crystal, computed with PBE.

Structure (POSCAR):
```
SmThPtI
1.0
2.115 1.221 8.145
-2.115 1.221 8.145
0.000 -2.442 8.145
Sm Th Pt I
1 1 1 1
Direct
0.000 0.000 0.000
0.208 0.208 0.208
0.602 0.602 0.602
0.771 0.771 0.771
```

Calculated values
The crystal system is trigonal. The total magnetization is 0.00 μB/f.u. The energy comes out at -5.9383 eV/atom. Its uncorrected formation energy is -1006 meV per atom.

***

3.
A relaxed ScSn2IBr crystal, computed with PBE.

Structure (POSCAR):
```
ScSn2IBr
1.0
5.834 0.000 0.000
0.000 5.834 0.000
0.000 0.000 5.723
Sc Sn I Br
1 2 1 1
Direct
0.000 0.000 0.000
0.000 0.500 0.500
0.500 0.000 0.500
0.500 0.500 0.500
0.500 0.500 0.000
```

Calculated values
The crystal system is tetragonal. The total magnetization is 0.20 μB/f.u. The energy comes out at -2.7651 eV/atom. Its uncorrected formation energy is 747 meV per atom.

***

4.
A relaxed Ca3ZrNp2As6 crystal, computed with PBE.

Structure (POSCAR):
```
Ca3ZrNp2As6
1.0
3.555 -6.158 0.000
3.555 6.158 0.000
-2.373 0.000 6.817
Ca Zr Np As
3 1 2 6
Direct
0.000 0.000 0.000
0.333 0.667 0.000
0.667 0.333 0.000
0.500 0.500 0.500
0.167 0.833 0.500
0.833 0.167 0.500
0.097 0.424 0.272
0.249 0.249 0.728
0.424 0.097 0.272
0.576 0.903 0.728
0.751 0.751 0.272
0.903 0.576 0.728
```

Calculated values
The crystal system is monoclinic. The total magnetization is 6.01 μB/f.u. The energy comes out at -6.6934 eV/atom. The value obtained for the energy of formation is -1156.8 kJ/mol of formula units.

***

5.
A relaxed V2FeBrN crystal, computed with PBE.

Structure (POSCAR):
```
V2FeBrN
1.0
4.593 0.000 0.000
0.000 4.593 0.000
0.000 0.000 4.210
V Fe Br N
2 1 1 1
Direct
0.000 0.500 0.000
0.500 0.000 0.000
0.000 0.000 0.500
0.000 0.000 0.000
0.500 0.500 0.500
```

Calculated values
The crystal system is tetragonal. The total magnetization is 2.69 μB/f.u. The energy comes out at -5.2119 eV/atom. Its uncorrected formation energy is 2128 meV per atom.

***

6.
A relaxed CsCaInTe3 crystal, computed with PBE.

Structure (POSCAR):
```
CsCaInTe3
1.0
8.136 -3.212 0.000
8.136 3.212 0.000
-2.365 0.000 10.043
Cs Ca In Te
2 2 2 6
Direct
0.151 0.151 0.029
0.849 0.849 0.971
0.131 0.131 0.589
0.869 0.869 0.411
0.441 0.441 0.644
0.559 0.559 0.356
0.030 0.030 0.300
0.311 0.311 0.778
0.380 0.380 0.354
0.620 0.620 0.646
0.689 0.689 0.222
0.970 0.970 0.700
```

Calculated values
The crystal system is monoclinic. The total magnetization is 0.00 μB/f.u. The energy comes out at -3.3695 eV/atom. Its uncorrected formation energy is -866 meV per atom.